*1*
! NdTm2Lu, optimized geometry, DFT PBE; values from VASP
! Total magnetic moment   0.00 μB per formula unit
! SG   R-3m (166)
&SYSTEM
  ibrav = 0, nat = 12, ntyp = 3
/
ATOMIC_SPECIES
Nd 144.24 Nd.upf
Tm 168.93 Tm.upf
Lu 174.97 Lu.upf
ATOMIC_POSITIONS crystal
Nd 0.000 0.000 0.000
Nd 0.333 0.667 0.667
Nd 0.667 0.333 0.333
Tm 0.000 0.000 0.248
Tm 0.000 0.000 0.752
Tm 0.333 0.667 0.419
Tm 0.333 0.667 0.915
Tm 0.667 0.333 0.085
Tm 0.667 0.333 0.581
Lu 0.000 0.000 0.500
Lu 0.333 0.667 0.167
Lu 0.667 0.333 0.833
CELL_PARAMETERS angstrom
3.536 0.000 0.000
-1.768 3.063 0.000
0.000 0.000 34.403


*2*
! NdTm2Lu, optimized geometry, DFT PBE; values from VASP
! Total magnetic moment   0.00 μB per formula unit
! SG   Fm-3m (225)
&SYSTEM
  ibrav = 0, nat = 16, ntyp = 3
/
ATOMIC_SPECIES
Nd 144.24 Nd.upf
Tm 168.93 Tm.upf
Lu 174.97 Lu.upf
ATOMIC_POSITIONS crystal
Nd 0.000 0.000 0.000
Nd 0.000 0.500 0.500
Nd 0.500 0.000 0.500
Nd 0.500 0.500 0.000
Tm 0.250 0.250 0.250
Tm 0.250 0.250 0.750
Tm 0.250 0.750 0.250
Tm 0.250 0.750 0.750
Tm 0.750 0.250 0.250
Tm 0.750 0.250 0.750
Tm 0.750 0.750 0.250
Tm 0.750 0.750 0.750
Lu 0.000 0.000 0.500
Lu 0.000 0.500 0.000
Lu 0.500 0.000 0.000
Lu 0.500 0.500 0.500
CELL_PARAMETERS angstrom
7.956 0.000 0.000
0.000 7.956 0.000
0.000 0.000 7.956


Which is most stable, and by how much? *1*, by 98 meV/atom.


*1*
! NdTm2Lu, optimized geometry, DFT PBE; values from VASP
! Total magnetic moment   0.00 μB per formula unit
! SG   P4/mmm (123)
&SYSTEM
  ibrav = 0, nat = 4, ntyp = 3
/
ATOMIC_SPECIES
Nd 144.24 Nd.upf
Tm 168.93 Tm.upf
Lu 174.97 Lu.upf
ATOMIC_POSITIONS crystal
Nd 0.000 0.000 0.000
Tm 0.500 0.500 0.271
Tm 0.500 0.500 0.729
Lu 0.000 0.000 0.500
CELL_PARAMETERS angstrom
3.954 0.000 0.000
0.000 3.954 0.000
0.000 0.000 8.145


*2*
! NdTm2Lu, optimized geometry, DFT PBE; values from VASP
! Total magnetic moment   0.00 μB per formula unit
! SG   P4/mmm (123)
&SYSTEM
  ibrav = 0, nat = 4, ntyp = 3
/
ATOMIC_SPECIES
Nd 144.24 Nd.upf
Tm 168.93 Tm.upf
Lu 174.97 Lu.upf
ATOMIC_POSITIONS crystal
Nd 0.000 0.000 0.000
Tm 0.000 0.500 0.500
Tm 0.500 0.000 0.500
Lu 0.500 0.500 0.000
CELL_PARAMETERS angstrom
4.983 0.000 0.000
0.000 4.983 0.000
0.000 0.000 5.006


Which is most stable, and by how much? *2*, by 76 meV/atom.


*1*
! Nd2LuZn, optimized geometry, DFT PBE; values from VASP
! Total magnetic moment   0.00 μB per formula unit
! SG   R-3m (166)
&SYSTEM
  ibrav = 0, nat = 12, ntyp = 3
/
ATOMIC_SPECIES
Nd 144.24 Nd.upf
Lu 174.97 Lu.upf
Zn 65.41 Zn.upf
ATOMIC_POSITIONS crystal
Nd 0.000 0.000 0.098
Nd 0.000 0.000 0.902
Nd 0.333 0.667 0.568
Nd 0.333 0.667 0.765
Nd 0.667 0.333 0.235
Nd 0.667 0.333 0.432
Lu 0.000 0.000 0.000
Lu 0.333 0.667 0.667
Lu 0.667 0.333 0.333
Zn 0.000 0.000 0.500
Zn 0.333 0.667 0.167
Zn 0.667 0.333 0.833
CELL_PARAMETERS angstrom
3.476 0.000 0.000
-1.738 3.011 0.000
0.000 0.000 34.761


*2*
! Nd2LuZn, optimized geometry, DFT PBE; values from VASP
! Total magnetic moment   0.00 μB per formula unit
! SG   P4/mmm (123)
&SYSTEM
  ibrav = 0, nat = 4, ntyp = 3
/
ATOMIC_SPECIES
Nd 144.24 Nd.upf
Lu 174.97 Lu.upf
Zn 65.41 Zn.upf
ATOMIC_POSITIONS crystal
Nd 0.000 0.000 0.214
Nd 0.000 0.000 0.786
Lu 0.500 0.500 0.500
Zn 0.500 0.500 0.000
CELL_PARAMETERS angstrom
3.655 0.000 0.000
0.000 3.655 0.000
0.000 0.000 8.629


*3*
! Nd2LuZn, optimized geometry, DFT PBE; values from VASP
! Total magnetic moment   0.00 μB per formula unit
! SG   Fm-3m (225)
&SYSTEM
  ibrav = 0, nat = 16, ntyp = 3
/
ATOMIC_SPECIES
Nd 144.24 Nd.upf
Lu 174.97 Lu.upf
Zn 65.41 Zn.upf
ATOMIC_POSITIONS crystal
Nd 0.250 0.250 0.250
Nd 0.250 0.250 0.750
Nd 0.250 0.750 0.250
Nd 0.250 0.750 0.750
Nd 0.750 0.250 0.250
Nd 0.750 0.250 0.750
Nd 0.750 0.750 0.250
Nd 0.750 0.750 0.750
Lu 0.000 0.000 0.000
Lu 0.000 0.500 0.500
Lu 0.500 0.000 0.500
Lu 0.500 0.500 0.000
Zn 0.000 0.000 0.500
Zn 0.000 0.500 0.000
Zn 0.500 0.000 0.000
Zn 0.500 0.500 0.500
CELL_PARAMETERS angstrom
7.659 0.000 0.000
0.000 7.659 0.000
0.000 0.000 7.659


Which is most stable, and by how much? *2*, by 130 meV/atom.


*1*
! NdLu2Zn, optimized geometry, DFT PBE; values from VASP
! Total magnetic moment   0.00 μB per formula unit
! SG   P4/mmm (123)
&SYSTEM
  ibrav = 0, nat = 4, ntyp = 3
/
ATOMIC_SPECIES
Nd 144.24 Nd.upf
Lu 174.97 Lu.upf
Zn 65.41 Zn.upf
ATOMIC_POSITIONS crystal
Nd 0.000 0.000 0.000
Lu 0.500 0.500 0.300
Lu 0.500 0.500 0.700
Zn 0.000 0.000 0.500
CELL_PARAMETERS angstrom
3.510 0.000 0.000
0.000 3.510 0.000
0.000 0.000 8.721


*2*
! NdLu2Zn, optimized geometry, DFT PBE; values from VASP
! Total magnetic moment   0.00 μB per formula unit
! SG   P4/mmm (123)
&SYSTEM
  ibrav = 0, nat = 4, ntyp = 3
/
ATOMIC_SPECIES
Nd 144.24 Nd.upf
Lu 174.97 Lu.upf
Zn 65.41 Zn.upf
ATOMIC_POSITIONS crystal
Nd 0.000 0.000 0.000
Lu 0.000 0.500 0.500
Lu 0.500 0.000 0.500
Zn 0.500 0.500 0.000
CELL_PARAMETERS angstrom
4.717 0.000 0.000
0.000 4.717 0.000
0.000 0.000 4.764


Which is most stable, and by how much? *1*, by 144 meV/atom.


*1*
! Nd2LuZr, optimized geometry, DFT PBE; values from VASP
! Total magnetic moment   0.00 μB per formula unit
! SG   P4/mmm (123)
&SYSTEM
  ibrav = 0, nat = 4, ntyp = 3
/
ATOMIC_SPECIES
Nd 144.24 Nd.upf
Lu 174.97 Lu.upf
Zr 91.22 Zr.upf
ATOMIC_POSITIONS crystal
Nd 0.000 0.000 0.229
Nd 0.000 0.000 0.771
Lu 0.500 0.500 0.500
Zr 0.500 0.500 0.000
CELL_PARAMETERS angstrom
4.068 0.000 0.000
0.000 4.068 0.000
0.000 0.000 7.258


*2*
! Nd2LuZr, optimized geometry, DFT PBE; values from VASP
! Total magnetic moment   1.09 μB per formula unit
! SG   Fm-3m (225)
&SYSTEM
  ibrav = 0, nat = 16, ntyp = 3
/
ATOMIC_SPECIES
Nd 144.24 Nd.upf
Lu 174.97 Lu.upf
Zr 91.22 Zr.upf
ATOMIC_POSITIONS crystal
Nd 0.250 0.250 0.250
Nd 0.250 0.250 0.750
Nd 0.250 0.750 0.250
Nd 0.250 0.750 0.750
Nd 0.750 0.250 0.250
Nd 0.750 0.250 0.750
Nd 0.750 0.750 0.250
Nd 0.750 0.750 0.750
Lu 0.000 0.000 0.000
Lu 0.000 0.500 0.500
Lu 0.500 0.000 0.500
Lu 0.500 0.500 0.000
Zr 0.000 0.000 0.500
Zr 0.000 0.500 0.000
Zr 0.500 0.000 0.000
Zr 0.500 0.500 0.500
CELL_PARAMETERS angstrom
7.823 0.000 0.000
0.000 7.823 0.000
0.000 0.000 7.823


*3*
! Nd2LuZr, optimized geometry, DFT PBE; values from VASP
! Total magnetic moment   0.00 μB per formula unit
! SG   P4/mmm (123)
&SYSTEM
  ibrav = 0, nat = 4, ntyp = 3
/
ATOMIC_SPECIES
Nd 144.24 Nd.upf
Lu 174.97 Lu.upf
Zr 91.22 Zr.upf
ATOMIC_POSITIONS crystal
Nd 0.000 0.500 0.000
Nd 0.500 0.000 0.000
Lu 0.000 0.000 0.500
Zr 0.500 0.500 0.500
CELL_PARAMETERS angstrom
4.935 0.000 0.000
0.000 4.935 0.000
0.000 0.000 4.907


*4*
! Nd2LuZr, optimized geometry, DFT PBE; values from VASP
! Total magnetic moment   0.00 μB per formula unit
! SG   R-3m (166)
&SYSTEM
  ibrav = 0, nat = 12, ntyp = 3
/
ATOMIC_SPECIES
Nd 144.24 Nd.upf
Lu 174.97 Lu.upf
Zr 91.22 Zr.upf
ATOMIC_POSITIONS crystal
Nd 0.000 0.000 0.086
Nd 0.000 0.000 0.914
Nd 0.333 0.667 0.580
Nd 0.333 0.667 0.753
Nd 0.667 0.333 0.247
Nd 0.667 0.333 0.420
Lu 0.000 0.000 0.500
Lu 0.333 0.667 0.167
Lu 0.667 0.333 0.833
Zr 0.000 0.000 0.000
Zr 0.333 0.667 0.667
Zr 0.667 0.333 0.333
CELL_PARAMETERS angstrom
3.395 0.000 0.000
-1.698 2.940 0.000
0.000 0.000 36.335


Which is most stable, and by how much? *3*, by 48 meV/atom.


*1*
! LuPaNi2, optimized geometry, DFT PBE; values from VASP
! Total magnetic moment   0.00 μB per formula unit
! SG   P4/mmm (123)
&SYSTEM
  ibrav = 0, nat = 4, ntyp = 3
/
ATOMIC_SPECIES
Lu 174.97 Lu.upf
Pa 231.04 Pa.upf
Ni 58.69 Ni.upf
ATOMIC_POSITIONS crystal
Lu 0.000 0.000 0.000
Pa 0.000 0.000 0.500
Ni 0.500 0.500 0.250
Ni 0.500 0.500 0.750
CELL_PARAMETERS angstrom
3.267 0.000 0.000
0.000 3.267 0.000
0.000 0.000 6.896


*2*
! LuPaNi2, optimized geometry, DFT PBE; values from VASP
! Total magnetic moment   0.00 μB per formula unit
! SG   R-3m (166)
&SYSTEM
  ibrav = 0, nat = 12, ntyp = 3
/
ATOMIC_SPECIES
Lu 174.97 Lu.upf
Pa 231.04 Pa.upf
Ni 58.69 Ni.upf
ATOMIC_POSITIONS crystal
Lu 0.000 0.000 0.000
Lu 0.333 0.667 0.667
Lu 0.667 0.333 0.333
Pa 0.000 0.000 0.500
Pa 0.333 0.667 0.167
Pa 0.667 0.333 0.833
Ni 0.000 0.000 0.244
Ni 0.000 0.000 0.756
Ni 0.333 0.667 0.423
Ni 0.333 0.667 0.910
Ni 0.667 0.333 0.090
Ni 0.667 0.333 0.577
CELL_PARAMETERS angstrom
3.657 0.000 0.000
-1.828 3.167 0.000
0.000 0.000 20.812


Which is most stable, and by how much? *1*, by 55 meV/atom.